Below is an optimized crystal structure of Ag2PbAu2, with properties calculated at the GGA-PBE level.

Values from the calculation:
Its energy above the most stable polymorph in this dataset is 0.026 eV/atom. For the magnetic moment, the calculation gives 0.00 μB/f.u. The formation energy comes out at 0.63 kcal/mol of atoms.

Unit cell a=4.0093 b=4.0093 c=7.4075 alpha=74.30 beta=74.30 gamma=90.00
Atoms (fractional coordinates):
Pb 0.0000 0.0000 0.0000
Au 0.3982 0.3982 0.2036
Au 0.6018 0.6018 0.7964
Ag 0.7500 0.2500 0.5000
Ag 0.2500 0.7500 0.5000